A plane-wave DFT calculation with GGA-PBE was carried out for an optimized crystal structure of Rb2Te3O12.

Geometry as POSCAR:
```
Rb2Te3O12
1.0
3.564 2.058 6.373
-3.564 2.058 6.373
0.000 -4.116 6.373
Rb Te O
2 3 12
direct
0.131 0.131 0.131 Rb
0.869 0.869 0.869 Rb
0.000 0.500 0.500 Te
0.500 0.000 0.500 Te
0.500 0.500 0.000 Te
0.167 0.167 0.567 O
0.167 0.567 0.167 O
0.201 0.541 0.541 O
0.433 0.833 0.833 O
0.459 0.459 0.799 O
0.459 0.799 0.459 O
0.541 0.201 0.541 O
0.541 0.541 0.201 O
0.567 0.167 0.167 O
0.799 0.459 0.459 O
0.833 0.433 0.833 O
0.833 0.833 0.433 O
```

Results
* DOS at the Fermi energy: 0.281 states/eV/atom
* SG: R-3m
* uncorrected formation energy: -720.4 meV/atom
* crystal system: trigonal
* density: 4.4 g/cm³